Compound: HoLuTl
Source: Alexandria
Functional: PBE-GGA
Structure: optimized geometry

## Properties
Uncorrected energy, eV per formula unit: -11.84
Symmetry: P3m1, No. 156
Energy of formation, eV/atom: -0.12

Lattice parameters (Å, degrees): 5.2133 5.2133 3.6540 90.00 90.00 120.00
Closest atoms and distances in Å follow each position.
Fractional positions:
Ho  0.0000  0.0000  0.0000  6 Tl 3.51-3.53, 6 Lu 3.52, 2 Ho 3.65
Lu  0.6667  0.3333  0.5017  3 Tl 3.01
Tl  0.3333  0.6667  0.4935  3 Lu 3.01